[1]
# TaFeOs2 PBE-GGA relaxed
data_TaFeOs2
_chemical_formula_sum 'Ta1 Fe1 Os2'
_space_group_name_H-M_alt 'P m m 2'
_space_group_IT_number 25
_cell_length_a 2.7814
_cell_length_b 3.8097
_cell_length_c 5.5040
_cell_angle_alpha 90.00
_cell_angle_beta 90.00
_cell_angle_gamma 90.00
loop_
_space_group_symop_operation_xyz
'x,y,z'
'-x,-y,z'
'-x,y,z'
'x,-y,z'
loop_
_atom_site_label
_atom_site_type_symbol
_atom_site_fract_x
_atom_site_fract_y
_atom_site_fract_z
Ta1 Ta 0.0000 0.0000 0.0000
Fe1 Fe 0.5000 0.5000 0.7448
Os1 Os 0.0000 0.0000 0.5091
Os2 Os 0.5000 0.5000 0.2791
# Electronic total energy   -10.695 eV per atom
# ΔE_f   0.00 eV per atom
# Magnetization   1.5 μB/cell
# Crystal system   orthorhombic

=====

[2]
# WBrCl2 PBE-GGA relaxed
data_WBrCl2
_chemical_formula_sum 'W2 Br2 Cl4'
_space_group_name_H-M_alt 'C m m m'
_space_group_IT_number 65
_space_group_name_Hall '-C 2 2'
_cell_length_a 2.8956
_cell_length_b 5.9904
_cell_length_c 11.3249
_cell_angle_alpha 90.00
_cell_angle_beta 90.00
_cell_angle_gamma 90.00
loop_
_atom_site_label
_atom_site_type_symbol
_atom_site_fract_x
_atom_site_fract_y
_atom_site_fract_z
W1 W 0.0000 0.0000 0.0000
Br1 Br 0.0000 0.0000 0.5000
Cl1 Cl 0.0000 0.5000 0.1716
# E_form (uncorrected)   0.03 eV per atom
# Offset from the most stable computed form   1.508 eV/f.u.
# Electronic total energy   -4.550 eV per atom
# Magnetization   1.7 μB/cell
# Crystal system   orthorhombic

=====

[3]
# Mo2PC PBE-GGA relaxed
data_Mo2PC
_chemical_formula_sum 'Mo8 P4 C4'
_space_group_name_H-M_alt 'I -4 2 d'
_space_group_IT_number 122
_space_group_name_Hall 'I -4 2bw'
_cell_length_a 5.0483
_cell_length_b 5.0483
_cell_length_c 10.0685
_cell_angle_alpha 90.00
_cell_angle_beta 90.00
_cell_angle_gamma 90.00
loop_
_atom_site_label
_atom_site_type_symbol
_atom_site_fract_x
_atom_site_fract_y
_atom_site_fract_z
Mo1 Mo 0.1929 0.2500 0.1250
P1 P 0.0000 0.0000 0.5000
C1 C 0.0000 0.0000 0.0000
# Offset from the most stable computed form   0.000 eV/f.u.
# Electronic total energy   -8.685 eV per atom
# ΔE_f   0.39 eV per atom
# Magnetization   0.2 μB/cell
# Crystal system   tetragonal

=====

[4]
# Sc4TiGa5 PBE-GGA relaxed
data_Sc4TiGa5
_chemical_formula_sum 'Sc4 Ti1 Ga5'
_space_group_name_H-M_alt 'P 4/m m m'
_space_group_IT_number 123
_space_group_name_Hall '-P 4 2'
_cell_length_a 3.3730
_cell_length_b 3.3730
_cell_length_c 16.1239
_cell_angle_alpha 90.00
_cell_angle_beta 90.00
_cell_angle_gamma 90.00
loop_
_atom_site_label
_atom_site_type_symbol
_atom_site_fract_x
_atom_site_fract_y
_atom_site_fract_z
Sc1 Sc 0.0000 0.0000 0.1036
Sc2 Sc 0.0000 0.0000 0.3097
Ti1 Ti 0.0000 0.0000 0.5000
Ga1 Ga 0.5000 0.5000 0.0000
Ga2 Ga 0.5000 0.5000 0.2068
Ga3 Ga 0.5000 0.5000 0.4131
# Electronic total energy   -5.374 eV per atom
# ΔE_f   -0.54 eV per atom
# Magnetization   0.8 μB/cell
# Crystal system   tetragonal

=====

[5]
# Y3Ho4Er2 PBE-GGA relaxed
data_Y3Ho4Er2
_chemical_formula_sum 'Y12 Ho16 Er8'
_space_group_name_H-M_alt 'C 1 2/c 1'
_space_group_IT_number 15
_cell_length_a 16.6195
_cell_length_b 11.5138
_cell_length_c 5.9436
_cell_angle_alpha 90.00
_cell_angle_beta 97.02
_cell_angle_gamma 90.00
loop_
_space_group_symop_operation_xyz
'x,y,z'
'-x,-y,-z'
'-x,y,-z+1/2'
'x,-y,z+1/2'
'x+1/2,y+1/2,z'
'-x+1/2,-y+1/2,-z'
'-x+1/2,y+1/2,-z+1/2'
'x+1/2,-y+1/2,z+1/2'
loop_
_atom_site_label
_atom_site_type_symbol
_atom_site_fract_x
_atom_site_fract_y
_atom_site_fract_z
Y1 Y 0.0000 0.1526 0.2500
Y2 Y 0.1670 0.3473 0.0831
Ho1 Ho 0.0634 0.3914 0.5484
Ho2 Ho 0.2294 0.1084 0.3823
Er1 Er 0.1033 0.1079 0.7864
# Electronic total energy   -5.100 eV per atom
# ΔE_f   0.10 eV per atom
# Magnetization   0.0 μB/cell
# Crystal system   monoclinic

=====

[6]
# La4Tb3Sn4 PBE-GGA relaxed
data_La4Tb3Sn4
_chemical_formula_sum 'La8 Tb6 Sn8'
_space_group_name_H-M_alt 'I m m m'
_space_group_IT_number 71
_space_group_name_Hall '-I 2 2'
_cell_length_a 3.6488
_cell_length_b 9.5596
_cell_length_c 19.4987
_cell_angle_alpha 90.00
_cell_angle_beta 90.00
_cell_angle_gamma 90.00
loop_
_atom_site_label
_atom_site_type_symbol
_atom_site_fract_x
_atom_site_fract_y
_atom_site_fract_z
La1 La 0.0000 0.1677 0.1639
Tb1 Tb 0.0000 0.0000 0.4108
Tb2 Tb 0.0000 0.5000 0.5000
Sn1 Sn 0.0000 0.2777 0.0000
Sn2 Sn 0.0000 0.5000 0.2193
# Electronic total energy   -5.100 eV per atom
# ΔE_f   -0.59 eV per atom
# Magnetization   0.0 μB/cell
# Crystal system   orthorhombic

=====

> Look up the electronic total energy of the second one.

-4.550 eV per atom

=====

> Which of these has the highest electronic total energy?

WBrCl2

=====

> What is the magnetization in the third record?

0.2 μB/cell

=====

> magnetization of number 4 (Sc4TiGa5)?

0.8 μB/cell